# NdGa2Ir | the Alexandria database | PBE | relaxed
# Crystal system: orthorhombic
# ΔH_f (0 K) in eV/f.u.: -2.7
data_NdGa2Ir
_chemical_formula_sum 'Nd8 Ga16 Ir8'
_cell_length_a 4.409
_cell_length_b 9.361
_cell_length_c 15.908
_cell_angle_alpha 90.00
_cell_angle_beta 90.00
_cell_angle_gamma 90.00
_space_group_name_H-M_alt 'I m m m'
_space_group_IT_number 71
_space_group_name_Hall '-I 2 2'
loop_
_atom_site_label
_atom_site_fract_x
_atom_site_fract_y
_atom_site_fract_z
Nd1 0.000 0.000 0.207
Nd2 0.000 0.242 0.000
Ga1 0.000 0.000 0.413
Ga2 0.000 0.344 0.196
Ga3 0.000 0.500 0.423
Ir1 0.000 0.254 0.356